# 1
This record from Alexandria describes a relaxed structure of Y2SiTe. The functional is PBE.

a b c (Å): 4.2698 4.2698 6.9426
angles (deg): 90.00 90.00 120.00
Fractional coordinates of all 4 atoms:
Y1 0.3333 0.6667 0.2139
Y2 0.6667 0.3333 0.7861
Si1 0.0000 0.0000 0.0000
Te1 0.0000 0.0000 0.5000

Values from the calculation:
Energy relative to the elements, uncorrected = -0.997 eV per atom

***

# 2
This record from Alexandria describes a relaxed structure of Tb2Al2CuNi5. The functional is PBE.

a b c (Å): 9.7962 9.7962 3.1712
angles (deg): 90.00 90.00 90.00
Fractional coordinates of all 20 atoms:
Tb1 0.1742 0.3258 0.0000
Tb2 0.3258 0.8258 0.0000
Tb3 0.6742 0.1742 0.0000
Tb4 0.8258 0.6742 0.0000
Al1 0.1261 0.6261 0.0000
Al2 0.3739 0.1261 0.0000
Al3 0.6261 0.8739 0.0000
Al4 0.8739 0.3739 0.0000
Cu1 0.0000 0.0000 0.0000
Cu2 0.5000 0.5000 0.0000
Ni1 0.0000 0.5000 0.5000
Ni2 0.0540 0.8058 0.5000
Ni3 0.1942 0.0540 0.5000
Ni4 0.3058 0.5540 0.5000
Ni5 0.4460 0.3058 0.5000
Ni6 0.5000 0.0000 0.5000
Ni7 0.5540 0.6942 0.5000
Ni8 0.6942 0.4460 0.5000
Ni9 0.8058 0.9460 0.5000
Ni10 0.9460 0.1942 0.5000

Values from the calculation:
Energy of formation from the pure elements = -0.257 eV per atom

***

# 3
This record from Alexandria describes a relaxed structure of PaZn2Au. The functional is PBE.

a b c (Å): 3.1817 3.1817 7.3461
angles (deg): 90.00 90.00 90.00
Fractional coordinates of all 4 atoms:
Pa1 0.0000 0.0000 0.0000
Zn1 0.5000 0.5000 0.2887
Zn2 0.5000 0.5000 0.7113
Au1 0.0000 0.0000 0.5000

Values from the calculation:
Energy of formation from the pure elements = -0.125 eV per atom

***

# 4
This record from Alexandria describes a relaxed structure of Ho4NiPt. The functional is PBE.

a b c (Å): 8.1920 8.1920 6.7386
angles (deg): 111.09 111.09 113.49
Fractional coordinates of all 12 atoms:
Ho1 0.0510 0.5929 0.8224
Ho2 0.2277 0.2678 0.7559
Ho3 0.2678 0.2277 0.2559
Ho4 0.4071 0.9490 0.6776
Ho5 0.5929 0.0510 0.3224
Ho6 0.7322 0.7723 0.7441
Ho7 0.7723 0.7322 0.2441
Ho8 0.9490 0.4071 0.1776
Ni1 0.1015 0.8985 0.7500
Ni2 0.8985 0.1015 0.2500
Pt1 0.3719 0.6281 0.2500
Pt2 0.6281 0.3719 0.7500

Values from the calculation:
Energy of formation from the pure elements = -0.542 eV per atom

***

# 5
This record from Alexandria describes a relaxed structure of NdCd2Ag3. The functional is PBE.

a b c (Å): 4.8542 4.8542 13.0454
angles (deg): 90.00 90.00 120.00
Fractional coordinates of all 12 atoms:
Nd1 0.0000 0.0000 0.2500
Nd2 0.0000 0.0000 0.7500
Cd1 0.3333 0.6667 0.0894
Cd2 0.3333 0.6667 0.4106
Cd3 0.6667 0.3333 0.5894
Cd4 0.6667 0.3333 0.9106
Ag1 0.0000 0.0000 0.0000
Ag2 0.0000 0.0000 0.5000
Ag3 0.3333 0.6667 0.6352
Ag4 0.3333 0.6667 0.8648
Ag5 0.6667 0.3333 0.1352
Ag6 0.6667 0.3333 0.3648

Values from the calculation:
Energy of formation from the pure elements = -0.196 eV per atom

***

# 6
This record from Alexandria describes a relaxed structure of La4Ho3PaP8. The functional is PBE.

a b c (Å): 8.2617 8.2617 8.2617
angles (deg): 59.64 59.64 59.64
Fractional coordinates of all 16 atoms:
La1 0.0000 0.0000 0.0000
La2 0.0000 0.5000 0.5000
La3 0.5000 0.0000 0.5000
La4 0.5000 0.5000 0.0000
Ho1 0.0000 0.0000 0.5000
Ho2 0.0000 0.5000 0.0000
Ho3 0.5000 0.0000 0.0000
Pa1 0.5000 0.5000 0.5000
P1 0.2450 0.2450 0.2450
P2 0.2483 0.7409 0.7409
P3 0.2591 0.2591 0.7517
P4 0.2591 0.7517 0.2591
P5 0.7409 0.2483 0.7409
P6 0.7409 0.7409 0.2483
P7 0.7517 0.2591 0.2591
P8 0.7550 0.7550 0.7550

Values from the calculation:
Energy of formation from the pure elements = -1.559 eV per atom

***

# 7
This record from Alexandria describes a relaxed structure of SrP2SCl. The functional is PBE.

a b c (Å): 6.1678 6.1678 5.4400
angles (deg): 90.00 90.00 90.00
Fractional coordinates of all 5 atoms:
Sr1 0.0000 0.0000 0.0000
P1 0.0000 0.5000 0.0000
P2 0.5000 0.0000 0.0000
S1 0.5000 0.5000 0.5000
Cl1 0.0000 0.0000 0.5000

Values from the calculation:
Energy relative to the elements, uncorrected = 0.830 eV per atom

***

# 8
This record from Alexandria describes a relaxed structure of HoAgPd. The functional is PBE.

a b c (Å): 3.6530 3.6530 9.1320
angles (deg): 90.00 90.00 90.00
Fractional coordinates of all 6 atoms:
Ho1 0.0000 0.0000 0.0000
Ho2 0.5000 0.5000 0.5000
Ag1 0.0000 0.0000 0.6771
Ag2 0.5000 0.5000 0.1771
Pd1 0.0000 0.0000 0.3449
Pd2 0.5000 0.5000 0.8449

Values from the calculation:
Energy of formation from the pure elements = -0.593 eV per atom